Entry 1:
Pa2CoSi2 | Alexandria | PBE-GGA | optimized geometry; energy relative to the elements, uncorrected = -638 meV per atom; final energy = -8.03 eV/atom; mass density = 10.25 g/cm3; SG = C2/m; relative energy among the computed polymorphs = 0 meV per atom
1.0
5.2891 -1.9092 0.0000
5.2891 1.9092 0.0000
-5.2472 0.0000 9.2565
Pa Co Si
4 2 4
Direct
0.1221 0.1221 0.4031 Pa
0.2828 0.2828 0.8560 Pa
0.7172 0.7172 0.1440 Pa
0.8779 0.8779 0.5969 Pa
0.4500 0.4500 0.2023 Co
0.5500 0.5500 0.7977 Co
0.0311 0.0311 0.9079 Si
0.3863 0.3863 0.3816 Si
0.6137 0.6137 0.6184 Si
0.9689 0.9689 0.0921 Si



Entry 2:
Pa3Co2Si3 | Alexandria | PBE-GGA | optimized geometry; energy relative to the elements, uncorrected = -643 meV per atom; final energy = -8.01 eV/atom; mass density = 10.05 g/cm3; SG = Cmcm
1.0
1.9466 -5.1941 0.0000
1.9466 5.1941 0.0000
0.0000 0.0000 14.6304
Pa Co Si
6 4 6
Direct
0.0859 0.9141 0.7500 Pa
0.3607 0.6393 0.5954 Pa
0.3607 0.6393 0.9046 Pa
0.6393 0.3607 0.0954 Pa
0.6393 0.3607 0.4046 Pa
0.9141 0.0859 0.2500 Pa
0.3421 0.6579 0.1227 Co
0.3421 0.6579 0.3773 Co
0.6579 0.3421 0.6227 Co
0.6579 0.3421 0.8773 Co
0.0816 0.9184 0.5544 Si
0.0816 0.9184 0.9456 Si
0.1954 0.8046 0.2500 Si
0.8046 0.1954 0.7500 Si
0.9184 0.0816 0.0544 Si
0.9184 0.0816 0.4456 Si



Entry 3:
Pa3Co3Si | Alexandria | PBE-GGA | optimized geometry; energy relative to the elements, uncorrected = -463 meV per atom; final energy = -8.35 eV/atom; mass density = 12.16 g/cm3; SG = C2/m
1.0
5.3825 -1.9246 0.0000
5.3825 1.9246 0.0000
-4.5460 0.0000 11.8384
Pa Co Si
6 6 2
Direct
0.0159 0.0159 0.3773 Pa
0.1047 0.1047 0.9185 Pa
0.2390 0.2390 0.2194 Pa
0.7610 0.7610 0.7806 Pa
0.8953 0.8953 0.0815 Pa
0.9841 0.9841 0.6227 Pa
0.3663 0.3663 0.4487 Co
0.3795 0.3795 0.9387 Co
0.4561 0.4561 0.7652 Co
0.5439 0.5439 0.2348 Co
0.6205 0.6205 0.0613 Co
0.6337 0.6337 0.5513 Co
0.2611 0.2611 0.5953 Si
0.7389 0.7389 0.4047 Si



Entry 4:
PaCo2Si2 | Alexandria | PBE-GGA | optimized geometry; energy relative to the elements, uncorrected = -796 meV per atom; final energy = -7.71 eV/atom; mass density = 9.22 g/cm3; SG = P4/nmm
1.0
3.9135 0.0000 0.0000
0.0000 3.9135 0.0000
0.0000 0.0000 9.5217
Pa Co Si
2 4 4
Direct
0.2500 0.2500 0.2495 Pa
0.7500 0.7500 0.7505 Pa
0.2500 0.2500 0.6294 Co
0.2500 0.7500 0.0000 Co
0.7500 0.2500 0.0000 Co
0.7500 0.7500 0.3706 Co
0.2500 0.2500 0.8702 Si
0.2500 0.7500 0.5000 Si
0.7500 0.2500 0.5000 Si
0.7500 0.7500 0.1298 Si



Entry 5:
Pa2Co2Si | Alexandria | PBE-GGA | optimized geometry; energy relative to the elements, uncorrected = -573 meV per atom; final energy = -8.30 eV/atom; mass density = 11.59 g/cm3; SG = P4/mbm
1.0
7.0125 0.0000 0.0000
0.0000 7.0125 0.0000
0.0000 0.0000 3.5415
Pa Co Si
4 4 2
Direct
0.1793 0.3207 0.0000 Pa
0.3207 0.8207 0.0000 Pa
0.6793 0.1793 0.0000 Pa
0.8207 0.6793 0.0000 Pa
0.1334 0.6334 0.5000 Co
0.3666 0.1334 0.5000 Co
0.6334 0.8666 0.5000 Co
0.8666 0.3666 0.5000 Co
0.0000 0.0000 0.5000 Si
0.5000 0.5000 0.5000 Si



Entry 6:
Pa3Co5Si2 | Alexandria | PBE-GGA | optimized geometry; energy relative to the elements, uncorrected = -227 meV per atom; final energy = -7.71 eV/atom; mass density = 10.46 g/cm3; SG = Ibam
1.0
-5.1594 5.8301 2.7552
5.1594 -5.8301 2.7552
5.1594 5.8301 -2.7552
Pa Co Si
6 10 4
Direct
0.1181 0.6844 0.8025 Pa
0.2500 0.2500 0.0000 Pa
0.3819 0.1844 0.5664 Pa
0.6181 0.8156 0.4336 Pa
0.7500 0.7500 0.0000 Pa
0.8819 0.3156 0.1975 Pa
0.0532 0.2500 0.8032 Co
0.1533 0.3979 0.5512 Co
0.2500 0.7500 0.5000 Co
0.3467 0.8979 0.2447 Co
0.4468 0.2500 0.1968 Co
0.5532 0.7500 0.8032 Co
0.6533 0.1021 0.7553 Co
0.7500 0.2500 0.5000 Co
0.8467 0.6021 0.4488 Co
0.9468 0.7500 0.1968 Co
0.1332 0.1873 0.3205 Si
0.3668 0.6873 0.0541 Si
0.6332 0.3127 0.9459 Si
0.8668 0.8127 0.6795 Si



Entry 7:
Pa3Co2Si7 | Alexandria | PBE-GGA | optimized geometry; energy relative to the elements, uncorrected = -564 meV per atom; final energy = -7.29 eV/atom; mass density = 8.36 g/cm3; SG = Cmmm; relative energy among the computed polymorphs = 85 meV per atom
1.0
1.9995 -12.5950 0.0000
1.9995 12.5950 0.0000
0.0000 0.0000 3.9723
Pa Co Si
3 2 7
Direct
0.0000 0.0000 0.0000 Pa
0.1800 0.8200 0.0000 Pa
0.8200 0.1800 0.0000 Pa
0.3629 0.6371 0.5000 Co
0.6371 0.3629 0.5000 Co
0.0882 0.9118 0.5000 Si
0.2747 0.7253 0.5000 Si
0.4117 0.5883 0.0000 Si
0.5000 0.5000 0.5000 Si
0.5883 0.4117 0.0000 Si
0.7253 0.2747 0.5000 Si
0.9118 0.0882 0.5000 Si



Entry 8:
Pa3Co2Si7 | Alexandria | PBE-GGA | optimized geometry; energy relative to the elements, uncorrected = -649 meV per atom; final energy = -7.37 eV/atom; mass density = 8.37 g/cm3; SG = P2/m; relative energy among the computed polymorphs = 0 meV per atom
1.0
4.0489 0.0000 0.0000
0.0000 4.0520 0.0000
-1.8632 0.0000 12.1788
Pa Co Si
3 2 7
Direct
0.0000 0.0000 0.0000 Pa
0.3016 0.5000 0.6315 Pa
0.6984 0.5000 0.3685 Pa
0.1121 0.0000 0.2578 Co
0.8879 0.0000 0.7422 Co
0.1300 0.5000 0.1762 Si
0.2289 0.0000 0.4462 Si
0.4205 0.0000 0.8251 Si
0.5000 0.5000 0.0000 Si
0.5795 0.0000 0.1749 Si
0.7711 0.0000 0.5538 Si
0.8700 0.5000 0.8238 Si



Entry 9:
Pa2Co12Si7 | Alexandria | PBE-GGA | optimized geometry; energy relative to the elements, uncorrected = -595 meV per atom; final energy = -7.37 eV/atom; mass density = 8.58 g/cm3; SG = P-6
1.0
9.1239 0.0000 0.0000
-4.5620 7.9016 0.0000
0.0000 0.0000 3.6681
Pa Co Si
2 12 7
Direct
0.0000 0.0000 0.0000 Pa
0.3333 0.6667 0.5000 Pa
0.0393 0.2703 0.5000 Co
0.1142 0.7126 0.0000 Co
0.2310 0.9607 0.5000 Co
0.2874 0.4016 0.0000 Co
0.3872 0.1889 0.0000 Co
0.5540 0.4411 0.5000 Co
0.5589 0.1129 0.5000 Co
0.5984 0.8858 0.0000 Co
0.7297 0.7690 0.5000 Co
0.8017 0.6128 0.0000 Co
0.8111 0.1983 0.0000 Co
0.8871 0.4460 0.5000 Co
0.0558 0.4384 0.0000 Si
0.2727 0.2382 0.5000 Si
0.3826 0.9442 0.0000 Si
0.5616 0.6174 0.0000 Si
0.6667 0.3333 0.0000 Si
0.7618 0.0345 0.5000 Si
0.9655 0.7273 0.5000 Si



Entry 10:
Pa4CoSi8 | Alexandria | PBE-GGA | optimized geometry; energy relative to the elements, uncorrected = -509 meV per atom; final energy = -7.32 eV/atom; mass density = 8.18 g/cm3; SG = Pmm2
1.0
3.8856 0.0000 0.0000
0.0000 3.9457 0.0000
0.0000 0.0000 15.9923
Pa Co Si
4 1 8
Direct
0.0000 0.0000 0.0000 Pa
0.0000 0.5000 0.4957 Pa
0.5000 0.0000 0.2121 Pa
0.5000 0.5000 0.7105 Pa
0.5000 0.5000 0.9216 Co
0.0000 0.0000 0.3543 Si
0.0000 0.0000 0.6464 Si
0.0000 0.5000 0.1502 Si
0.0000 0.5000 0.8479 Si
0.5000 0.0000 0.5572 Si
0.5000 0.0000 0.8482 Si
0.5000 0.5000 0.0643 Si
0.5000 0.5000 0.3539 Si



Entry 11:
Pa3Co8Si | Alexandria | PBE-GGA | optimized geometry; energy relative to the elements, uncorrected = -285 meV per atom; final energy = -7.85 eV/atom; mass density = 11.60 g/cm3; SG = P3m1
1.0
4.9570 0.0000 0.0000
-2.4785 4.2929 0.0000
0.0000 0.0000 8.0217
Pa Co Si
3 8 1
Direct
0.0000 0.0000 0.0000 Pa
0.0000 0.0000 0.3817 Pa
0.6667 0.3333 0.5774 Pa
0.0010 0.5005 0.2044 Co
0.1691 0.3383 0.7071 Co
0.1691 0.8309 0.7071 Co
0.3333 0.6667 0.4543 Co
0.3333 0.6667 0.9541 Co
0.4995 0.5005 0.2044 Co
0.4995 0.9990 0.2044 Co
0.6617 0.8309 0.7071 Co
0.6667 0.3333 0.9640 Si



Entry 12:
Pa2CoSi2 | Alexandria | PBE-GGA | optimized geometry; energy relative to the elements, uncorrected = -542 meV per atom; final energy = -7.93 eV/atom; mass density = 10.19 g/cm3; SG = P2_1/c; relative energy among the computed polymorphs = 96 meV per atom
1.0
9.3418 0.0000 0.0000
0.0000 5.5474 0.0000
-1.5319 0.0000 7.2599
Pa Co Si
8 4 8
Direct
0.1161 0.1467 0.0851 Pa
0.1161 0.3533 0.5851 Pa
0.3440 0.6158 0.9963 Pa
0.3440 0.8842 0.4963 Pa
0.6560 0.1158 0.5037 Pa
0.6560 0.3842 0.0037 Pa
0.8839 0.6467 0.4149 Pa
0.8839 0.8533 0.9149 Pa
0.3349 0.1213 0.8389 Co
0.3349 0.3787 0.3389 Co
0.6651 0.6213 0.6611 Co
0.6651 0.8787 0.1611 Co
0.1273 0.6391 0.2248 Si
0.1273 0.8609 0.7248 Si
0.4359 0.1052 0.1561 Si
0.4359 0.3948 0.6561 Si
0.5641 0.6052 0.3439 Si
0.5641 0.8948 0.8439 Si
0.8727 0.1391 0.2752 Si
0.8727 0.3609 0.7752 Si



Entry 13:
Pa3Co3Si2 | Alexandria | PBE-GGA | optimized geometry; energy relative to the elements, uncorrected = -611 meV per atom; final energy = -8.19 eV/atom; mass density = 11.04 g/cm3; SG = Pnma; relative energy among the computed polymorphs = 0 meV per atom
1.0
7.4380 0.0000 0.0000
0.0000 12.7453 0.0000
0.0000 0.0000 5.8750
Pa Co Si
12 12 8
Direct
0.0438 0.1101 0.1333 Pa
0.0438 0.3899 0.1333 Pa
0.1065 0.7500 0.3798 Pa
0.3935 0.2500 0.8798 Pa
0.4562 0.6101 0.6333 Pa
0.4562 0.8899 0.6333 Pa
0.5438 0.1101 0.3667 Pa
0.5438 0.3899 0.3667 Pa
0.6065 0.7500 0.1202 Pa
0.8935 0.2500 0.6202 Pa
0.9562 0.6101 0.8667 Pa
0.9562 0.8899 0.8667 Pa
0.1126 0.5544 0.3882 Co
0.1126 0.9456 0.3882 Co
0.2412 0.2500 0.3897 Co
0.2588 0.7500 0.8897 Co
0.3874 0.0544 0.8882 Co
0.3874 0.4456 0.8882 Co
0.6126 0.5544 0.1118 Co
0.6126 0.9456 0.1118 Co
0.7412 0.2500 0.1103 Co
0.7588 0.7500 0.6103 Co
0.8874 0.0544 0.6118 Co
0.8874 0.4456 0.6118 Co
0.1887 0.0896 0.6114 Si
0.1887 0.4104 0.6114 Si
0.3113 0.5896 0.1114 Si
0.3113 0.9104 0.1114 Si
0.6887 0.0896 0.8886 Si
0.6887 0.4104 0.8886 Si
0.8113 0.5896 0.3886 Si
0.8113 0.9104 0.3886 Si



Entry 14:
Pa2Co4Si3 | Alexandria | PBE-GGA | optimized geometry; energy relative to the elements, uncorrected = -667 meV per atom; final energy = -7.74 eV/atom; mass density = 10.06 g/cm3; SG = Cmce
1.0
2.6856 -7.3034 0.0000
2.6856 7.3034 0.0000
0.0000 0.0000 6.5829
Pa Co Si
4 8 6
Direct
0.1054 0.8946 0.9128 Pa
0.3946 0.6054 0.4128 Pa
0.6054 0.3946 0.5872 Pa
0.8946 0.1054 0.0872 Pa
0.1714 0.8286 0.5236 Co
0.1763 0.3237 0.7500 Co
0.3237 0.1763 0.2500 Co
0.3286 0.6714 0.0236 Co
0.6714 0.3286 0.9764 Co
0.6763 0.8237 0.7500 Co
0.8237 0.6763 0.2500 Co
0.8286 0.1714 0.4764 Co
0.0000 0.0000 0.5000 Si
0.0171 0.4829 0.7500 Si
0.4829 0.0171 0.2500 Si
0.5000 0.5000 0.0000 Si
0.5171 0.9829 0.7500 Si
0.9829 0.5171 0.2500 Si



Entry 15:
Pa4CoSi | Alexandria | PBE-GGA | optimized geometry; energy relative to the elements, uncorrected = -298 meV per atom; final energy = -8.72 eV/atom; mass density = 13.23 g/cm3; SG = P4/mcc
1.0
6.8067 0.0000 0.0000
0.0000 6.8067 0.0000
0.0000 0.0000 5.4782
Pa Co Si
8 2 2
Direct
0.1486 0.3376 0.0000 Pa
0.1486 0.6624 0.5000 Pa
0.3376 0.1486 0.5000 Pa
0.3376 0.8514 0.0000 Pa
0.6624 0.1486 0.0000 Pa
0.6624 0.8514 0.5000 Pa
0.8514 0.3376 0.5000 Pa
0.8514 0.6624 0.0000 Pa
0.0000 0.0000 0.2500 Co
0.0000 0.0000 0.7500 Co
0.5000 0.5000 0.2500 Si
0.5000 0.5000 0.7500 Si



Entry 16:
PaCo9Si3 | Alexandria | PBE-GGA | optimized geometry; energy relative to the elements, uncorrected = -378 meV per atom; final energy = -7.28 eV/atom; mass density = 9.06 g/cm3; SG = C2/m
1.0
2.3816 -5.7542 0.0000
2.3816 5.7542 0.0000
-2.1833 0.0000 5.6525
Pa Co Si
1 9 3
Direct
0.0000 0.0000 0.0000 Pa
0.0000 0.0000 0.5000 Co
0.0111 0.6601 0.6564 Co
0.2736 0.5033 0.7725 Co
0.3399 0.9889 0.3436 Co
0.4967 0.7264 0.2275 Co
0.5033 0.2736 0.7725 Co
0.6601 0.0111 0.6564 Co
0.7264 0.4967 0.2275 Co
0.9889 0.3399 0.3436 Co
0.0000 0.5000 0.0000 Si
0.5000 0.0000 0.0000 Si
0.5000 0.5000 0.5000 Si



Entry 17:
PaCo6Si4 | Alexandria | PBE-GGA | optimized geometry; energy relative to the elements, uncorrected = -656 meV per atom; final energy = -7.37 eV/atom; mass density = 8.48 g/cm3; SG = P-6m2
1.0
6.5860 0.0000 0.0000
-3.2930 5.7037 0.0000
0.0000 0.0000 3.6316
Pa Co Si
1 6 4
Direct
0.0000 0.0000 0.0000 Pa
0.2014 0.4028 0.5000 Co
0.2014 0.7986 0.5000 Co
0.5332 0.0663 0.0000 Co
0.5332 0.4668 0.0000 Co
0.5972 0.7986 0.5000 Co
0.9337 0.4668 0.0000 Co
0.3333 0.6667 0.0000 Si
0.4037 0.2019 0.5000 Si
0.7981 0.2019 0.5000 Si
0.7981 0.5963 0.5000 Si



Entry 18:
Pa4Co2Si5 | Alexandria | PBE-GGA | optimized geometry; energy relative to the elements, uncorrected = -523 meV per atom; final energy = -7.73 eV/atom; mass density = 9.45 g/cm3; SG = P2/m
1.0
6.8003 0.0000 0.0000
0.0000 3.9142 0.0000
-0.0644 0.0000 7.8091
Pa Co Si
4 2 5
Direct
0.2250 0.0000 0.3594 Pa
0.2392 0.0000 0.8924 Pa
0.7608 0.0000 0.1076 Pa
0.7750 0.0000 0.6406 Pa
0.0930 0.5000 0.1356 Co
0.9070 0.5000 0.8644 Co
0.1141 0.5000 0.6246 Si
0.4373 0.5000 0.1461 Si
0.5000 0.5000 0.5000 Si
0.5627 0.5000 0.8539 Si
0.8859 0.5000 0.3754 Si